Computed, not measured: a geometry-optimized NaCaZn2Sn2 structure at the PBE level of DFT.

As for the calculated total energy: -0.19142 Ry per atom. Its space group is P-3m1. The crystal system is trigonal.

Structure (extended XYZ):
```
6
Lattice="4.6896 0.0000 0.0000 -2.3448 4.0613 0.0000 0.0000 0.0000 7.5172" Properties=species:S:1:pos:R:3 pbc="T T T"
Na 0.0000 0.0000 0.0000
Ca 0.0000 0.0000 3.7586
Zn 0.0000 2.7076 5.6375
Zn 2.3448 1.3538 1.8797
Sn 0.0000 2.7076 1.8874
Sn 2.3448 1.3538 5.6298
```

***

Computed, not measured: a geometry-optimized ScPdRuPb structure at the PBE level of DFT.

As for the calculated total energy: -0.47631 Ry per atom. Its space group is F-43m. The crystal system is cubic.

Structure (extended XYZ):
```
4
Lattice="0.0000 3.2982 3.2982 3.2982 0.0000 3.2982 3.2982 3.2982 0.0000" Properties=species:S:1:pos:R:3 pbc="T T T"
Sc 0.0000 0.0000 0.0000
Pd 1.6491 1.6491 1.6491
Ru 4.9473 4.9473 4.9473
Pb 3.2982 3.2982 3.2982
```

***

Computed, not measured: a geometry-optimized HoMgAgAu structure at the PBE level of DFT.

As for the calculated total energy: -0.26613 Ry per atom. Its space group is F-43m. The crystal system is cubic.

Structure (extended XYZ):
```
4
Lattice="0.0000 3.4699 3.4699 3.4699 0.0000 3.4699 3.4699 3.4699 0.0000" Properties=species:S:1:pos:R:3 pbc="T T T"
Ho 0.0000 0.0000 0.0000
Mg 3.4699 3.4699 3.4699
Ag 5.2048 5.2048 5.2048
Au 1.7349 1.7349 1.7349
```

***

Computed, not measured: a geometry-optimized Pr2Co2Ni structure at the PBE level of DFT.

As for the calculated total energy: -0.43106 Ry per atom. Its space group is P4/mbm. The crystal system is tetragonal.

Structure (extended XYZ):
```
10
Lattice="6.8346 0.0000 0.0000 0.0000 6.8346 0.0000 0.0000 0.0000 4.1589" Properties=species:S:1:pos:R:3 pbc="T T T"
Pr 1.2685 2.1488 0.0000
Pr 2.1488 5.5661 0.0000
Pr 4.6858 1.2685 0.0000
Pr 5.5661 4.6858 0.0000
Co 0.7994 4.2167 2.0795
Co 2.6179 0.7994 2.0795
Co 4.2167 6.0352 2.0795
Co 6.0352 2.6179 2.0795
Ni 0.0000 0.0000 2.0795
Ni 3.4173 3.4173 2.0795
```

***

Computed, not measured: a geometry-optimized Sr2CrB structure at the PBE level of DFT.

As for the calculated total energy: -0.32676 Ry per atom. Its space group is I-42d. The crystal system is tetragonal.

Structure (extended XYZ):
```
8
Lattice="-5.5401 5.5401 2.0759 5.5401 -5.5401 2.0759 5.5401 5.5401 -2.0759" Properties=species:S:1:pos:R:3 pbc="T T T"
Sr -0.7290 2.7700 0.5190
Sr 2.7700 4.8111 1.5569
Sr 0.7290 8.3101 0.5190
Sr -2.7700 6.2691 1.5569
Cr 5.5401 0.0000 1.0379
Cr 0.0000 0.0000 2.0759
B 0.0000 0.0000 0.0000
B 0.0000 5.5401 1.0379
```

***

Computed, not measured: a geometry-optimized SrCe2Hg3 structure at the PBE level of DFT.

As for the calculated total energy: -0.20403 Ry per atom. Its space group is P4/mmm. The crystal system is tetragonal.

Structure (extended XYZ):
```
6
Lattice="3.8563 0.0000 0.0000 0.0000 3.8563 0.0000 0.0000 0.0000 11.8429" Properties=species:S:1:pos:R:3 pbc="T T T"
Sr 0.0000 0.0000 0.0000
Ce 0.0000 0.0000 4.0232
Ce 0.0000 0.0000 7.8197
Hg 1.9281 1.9281 2.1586
Hg 1.9281 1.9281 5.9215
Hg 1.9281 1.9281 9.6844
```

***

Computed, not measured: a geometry-optimized TaPt2IF structure at the PBE level of DFT.

The uncorrected formation energy is 32.0 kcal/mol of atoms. Its space group is P4/mmm. The crystal system is tetragonal.

Structure (extended XYZ):
```
5
Lattice="4.9270 0.0000 0.0000 0.0000 4.9270 0.0000 0.0000 0.0000 5.1701" Properties=species:S:1:pos:R:3 pbc="T T T"
Ta 0.0000 0.0000 0.0000
Pt 0.0000 2.4635 2.5850
Pt 2.4635 0.0000 2.5850
I 0.0000 0.0000 2.5850
F 2.4635 2.4635 0.0000
```

***

Computed, not measured: a geometry-optimized BeAgSb structure at the PBE level of DFT.

The uncorrected formation energy is 5.2 kcal/mol of atoms. Its space group is Pm. The crystal system is monoclinic.

Structure (extended XYZ):
```
6
Lattice="5.0799 0.0000 0.0000 0.0000 3.9476 0.0000 -1.1733 0.0000 6.3342" Properties=species:S:1:pos:R:3 pbc="T T T"
Be 0.0000 0.0000 0.0000
Be -0.7622 1.9738 5.1632
Ag 0.9307 0.0000 5.0293
Ag 3.4008 1.9738 0.1572
Sb 0.8761 1.9738 1.3865
Sb 3.4546 0.0000 3.7802
```